A relaxed structure of BeCrO3. Source: Alexandria, functional PBE with a Hubbard U.

Properties
* total DFT energy (no corrections): -0.2322 hartree per atom
* magnetization: 0.40 μB per atom
* calculated volume: 8.3 Å³ per atom

a = 3.460 Å, b = 3.460 Å, c = 3.460 Å
α = 90.00°, β = 90.00°, γ = 90.00°
Fractional coordinates of all 5 atoms:
Be 0.000 0.000 0.000
Cr 0.500 0.500 0.500
O 0.000 0.500 0.000
O 0.000 0.000 0.500
O 0.500 0.000 0.000